TaMo2PtC: optimized geometry, PBE.

```
TaMo2PtC
1.0
-0.855 -3.206 -2.447
3.125 1.054 -2.474
2.648 -2.460 2.297
C Ta Pt Mo
1 1 1 2
Cartesian
0.000 0.000 0.000
1.324 -1.230 1.149
2.459 -2.306 -1.312
1.563 0.527 -1.237
-0.428 -1.603 -1.223
```

TcMoPtC2: optimized geometry, PBE.

```
TcMoPtC2
1.0
3.967 0.000 0.000
0.000 5.189 0.000
0.000 0.000 3.967
Pt Tc Mo C
1 1 1 2
Cartesian
0.000 2.595 0.000
1.984 2.595 1.984
0.000 0.000 0.000
0.000 0.000 1.984
1.984 0.000 0.000
```

TcMo2PtC: optimized geometry, PBE.

```
TcMo2PtC
1.0
-3.855 -1.177 0.888
0.025 -2.537 -3.255
1.455 -2.995 2.346
Pt Mo Tc C
1 2 1 1
Cartesian
-1.188 -3.355 -0.010
0.012 -1.269 -1.627
-1.928 -0.588 0.444
0.727 -1.498 1.173
0.000 0.000 0.000
```

Mo2PtWC: optimized geometry, PBE.

```
Mo2PtWC
1.0
4.134 0.000 0.000
0.000 4.134 0.000
0.000 0.000 4.143
C Mo Pt W
1 2 1 1
Cartesian
0.000 0.000 0.000
2.067 0.000 0.000
0.000 2.067 0.000
2.067 2.067 2.072
0.000 0.000 2.072
```

Zr2MoPtC: optimized geometry, PBE.

```
Zr2MoPtC
1.0
4.548 0.000 0.000
0.000 4.548 0.000
0.000 0.000 4.049
Zr Mo C Pt
2 1 1 1
Cartesian
2.274 0.000 0.000
0.000 2.274 0.000
0.000 0.000 2.024
0.000 0.000 0.000
2.274 2.274 2.024
```

PuMoC2: optimized geometry, PBE.

```
PuMoC2
1.0
-1.143 -1.724 -2.549
5.251 -0.241 -2.191
1.851 -9.299 5.459
Mo Pu C
4 4 8
Cartesian
3.012 -6.160 1.758
2.947 -5.104 -1.040
6.173 -8.971 2.242
-0.214 -2.293 -1.524
5.142 -7.470 -0.425
3.037 -1.878 -1.149
2.922 -9.386 1.867
0.817 -3.794 1.143
1.363 -3.659 -1.307
0.982 -0.592 -1.097
4.004 -3.859 -2.356
1.467 -6.109 0.303
1.955 -7.405 3.074
4.492 -5.155 0.415
4.596 -7.605 2.025
4.977 -10.673 1.815
```

Values from the calculation:
**Offset from the most stable computed form**: 0 meV per atom

PuMoC2: optimized geometry, PBE.

```
PuMoC2
1.0
-2.842 -0.321 -1.462
-2.137 -2.134 1.094
-3.817 3.056 3.220
C Pu Mo
2 1 1
Cartesian
-2.132 0.030 0.609
-6.665 0.571 2.243
-4.398 0.300 1.426
0.000 0.000 0.000
```

Values from the calculation:
**Offset from the most stable computed form**: 84 meV per atom

PuMoC: optimized geometry, PBE.

```
PuMoC
1.0
-1.009 -2.562 -1.120
2.388 -1.409 1.072
-3.311 1.020 4.596
Mo C Pu
1 1 1
Cartesian
-1.440 -0.530 2.511
-0.526 -2.433 2.095
-1.899 -2.938 4.490
```

Values from the calculation:
**Offset from the most stable computed form**: 0 meV per atom

PuMoC2: optimized geometry, PBE.

```
PuMoC2
1.0
-2.437 -1.785 -0.872
0.225 -3.133 0.119
-2.749 -1.576 5.241
C Mo Pu
2 1 1
Cartesian
-1.167 -1.626 0.921
-2.312 -1.589 4.047
-4.206 -4.855 4.689
-2.506 -3.246 2.314
```

Values from the calculation:
**Offset from the most stable computed form**: 235 meV per atom

PuMoC2: optimized geometry, PBE.

```
PuMoC2
1.0
3.180 0.000 0.000
-1.590 2.754 0.000
0.000 0.000 11.191
Pu Mo C
2 2 4
Cartesian
1.590 0.918 2.798
0.000 1.836 8.393
0.000 0.000 0.000
0.000 0.000 5.595
0.000 1.836 1.230
1.590 0.918 9.961
0.000 1.836 4.365
1.590 0.918 6.825
```

Values from the calculation:
**Offset from the most stable computed form**: 56 meV per atom

PuMoC2: optimized geometry, PBE.

```
PuMoC2
1.0
3.024 0.002 0.716
-0.005 5.477 0.006
1.563 -0.006 6.887
Mo Pu C
2 2 4
Cartesian
1.677 2.237 0.449
1.381 4.974 1.691
2.094 4.705 5.427
2.528 1.968 3.600
3.004 3.502 1.584
3.665 2.879 5.542
0.961 0.141 3.481
3.081 0.764 1.268
```

Values from the calculation:
**Offset from the most stable computed form**: 277 meV per atom

PuMoC: optimized geometry, PBE.

```
PuMoC
1.0
5.306 0.000 0.000
-1.769 7.860 0.000
-1.769 -3.930 6.807
C Mo Pu
6 6 6
Cartesian
2.161 1.289 3.864
0.392 -1.228 3.758
3.145 3.991 0.816
-0.392 2.641 2.943
-1.376 -0.061 5.991
1.376 5.158 3.049
0.669 -0.746 5.746
2.869 2.511 2.227
1.100 4.676 1.061
-1.100 1.419 4.580
2.438 -0.673 3.288
-0.669 4.603 3.519
-0.298 2.232 0.586
2.067 1.698 6.221
0.298 0.608 2.226
3.239 6.236 1.640
-1.470 -2.306 5.167
1.470 3.322 4.581
```

Values from the calculation:
**Offset from the most stable computed form**: 280 meV per atom

PuMoC: optimized geometry, PBE.

```
PuMoC
1.0
-2.739 -2.520 1.908
-1.311 -1.040 -3.256
2.765 -1.844 1.533
Pu Mo C
1 1 1
Cartesian
-1.779 -2.988 -0.387
-0.457 -0.420 0.318
0.950 -1.996 0.255
```

Values from the calculation:
**Offset from the most stable computed form**: 66 meV per atom

Pu2ScMo2C4: optimized geometry, PBE.

```
Pu2ScMo2C4
1.0
-2.732 0.762 1.690
-1.829 -5.747 -3.591
2.477 -1.969 4.892
C Pu Mo Sc
4 2 2 1
Cartesian
0.270 -1.497 4.336
-0.894 -2.942 -0.118
-2.354 -5.457 -1.345
-1.191 -4.011 3.109
-2.590 -4.582 1.105
0.506 -2.371 1.887
-2.452 -1.509 -0.058
0.368 -5.444 3.049
0.000 0.000 0.000
```

Pu2ThMoC4: optimized geometry, PBE.

```
Pu2ThMoC4
1.0
-0.510 -0.942 3.336
2.519 -4.948 -2.852
11.221 4.063 2.863
C Pu Th Mo
8 4 2 2
Cartesian
5.367 -1.316 0.449
7.863 -0.511 2.898
10.621 0.488 3.601
2.609 -2.315 -0.255
2.816 -0.090 2.245
10.415 -1.737 1.102
5.611 2.031 1.431
0.000 0.000 0.000
0.769 -1.730 1.469
5.515 -0.012 2.680
7.715 -1.815 0.667
12.461 -0.096 1.878
4.333 -3.722 1.451
8.897 1.895 1.895
3.514 -0.681 0.345
9.716 -1.146 3.002
```

PuTh2MoC4: optimized geometry, PBE.

```
PuTh2MoC4
1.0
-1.973 -1.801 2.445
-2.949 -0.770 -5.629
6.942 -10.580 -2.190
C Th Mo Pu
8 4 2 2
Cartesian
0.000 0.000 0.000
0.133 -3.807 -0.014
0.445 -4.767 -3.151
-1.171 -2.304 -2.642
3.191 -10.847 -2.731
3.471 -5.290 -1.095
1.575 -8.384 -2.222
1.887 -9.344 -5.358
-1.745 -1.769 -0.029
0.855 -6.947 -4.426
3.765 -11.382 -5.344
1.165 -6.204 -0.947
0.437 -3.196 -2.001
1.583 -9.955 -3.372
4.394 -8.280 -2.552
-2.374 -4.871 -2.820
```

Rb2MoC2: optimized geometry, PBE.

```
Rb2MoC2
1.0
-4.929 -1.644 -3.112
1.949 -5.734 -0.058
-2.794 -1.000 4.953
C Rb Mo
4 4 2
Cartesian
0.189 -4.813 -0.866
-3.168 -2.565 -2.305
-0.650 -1.901 -0.751
-2.329 -5.477 -2.420
-0.944 -4.658 1.892
-4.830 -3.720 -0.110
-2.658 -2.038 1.455
-3.116 -6.340 0.328
-1.490 -3.689 -1.585
0.000 0.000 0.000
```

Values from the calculation:
**Offset from the most stable computed form**: 0 meV per atom

RbMoC3: optimized geometry, PBE.

```
RbMoC3
1.0
-0.869 -3.654 1.740
0.252 -1.825 -3.706
4.039 -0.672 0.606
C Rb Mo
3 1 1
Cartesian
-0.434 -1.827 0.870
2.019 -0.336 0.303
0.126 -0.912 -1.853
0.000 0.000 0.000
1.711 -3.075 -0.680
```

Values from the calculation:
**Offset from the most stable computed form**: 2936 meV per atom

Rb2MoC2: optimized geometry, PBE.

```
Rb2MoC2
1.0
-3.187 3.849 2.948
-4.255 -0.529 -3.909
-5.473 -1.588 1.866
C Rb Mo
2 2 1
Cartesian
-8.939 0.546 1.043
-3.977 1.186 -0.139
-6.724 -0.228 -1.262
-6.191 1.961 2.166
0.000 0.000 0.000
```

Values from the calculation:
**Offset from the most stable computed form**: 30 meV per atom

RbMo3C: optimized geometry, PBE.

```
RbMo3C
1.0
4.661 0.000 0.000
0.000 4.661 0.000
0.000 0.000 4.661
Rb Mo C
1 3 1
Cartesian
0.000 0.000 0.000
0.000 2.331 0.000
0.000 0.000 2.331
2.331 0.000 0.000
2.331 2.331 2.331
```

Values from the calculation:
**Offset from the most stable computed form**: 3107 meV per atom

RbMoC2: optimized geometry, PBE.

```
RbMoC2
1.0
0.000 3.075 3.075
3.075 0.000 3.075
3.075 3.075 0.000
Mo C Rb
1 2 1
Cartesian
3.075 3.075 3.075
1.537 1.537 1.537
4.612 4.612 4.612
0.000 0.000 0.000
```

Values from the calculation:
**Offset from the most stable computed form**: 2173 meV per atom

RbMo2C: optimized geometry, PBE.

```
RbMo2C
1.0
-0.931 -5.325 3.546
6.396 -0.849 0.405
2.826 -0.573 5.774
C Mo Rb
2 4 2
Cartesian
2.733 -3.087 1.976
5.977 -2.255 4.077
5.769 -2.958 5.914
1.157 -2.245 2.823
4.355 -2.672 3.027
5.301 -5.620 7.687
0.000 0.000 0.000
2.314 -4.493 5.648
```

RbMoC2: optimized geometry, PBE.

```
RbMoC2
1.0
6.351 0.000 0.000
0.000 6.351 0.000
3.176 3.176 4.479
C Mo Rb
4 2 2
Cartesian
4.763 3.194 3.360
6.370 4.763 1.120
7.939 3.157 3.360
6.332 1.588 1.120
0.000 0.000 0.000
6.351 3.176 2.240
3.176 3.176 0.000
3.176 6.351 2.240
```

Values from the calculation:
**Offset from the most stable computed form**: 0 meV per atom

RbMoC3: optimized geometry, PBE.

```
RbMoC3
1.0
-2.213 -2.452 2.649
-1.680 -2.051 -3.302
3.195 -2.776 0.099
Mo Rb C
1 1 3
Cartesian
0.000 0.000 0.000
-0.349 -3.640 -0.277
1.598 -1.388 0.049
-0.840 -1.025 -1.651
-1.106 -1.226 1.325
```

Values from the calculation:
**Offset from the most stable computed form**: 0 meV per atom

RbMo3C: optimized geometry, PBE.

```
RbMo3C
1.0
-3.822 -2.115 -0.162
1.219 -2.464 3.399
-1.735 2.927 2.744
Mo Rb C
3 1 1
Cartesian
0.610 -1.232 1.699
-0.868 1.463 1.372
-1.911 -1.057 -0.081
-2.169 -0.826 2.991
0.000 0.000 0.000
```

Values from the calculation:
**Offset from the most stable computed form**: 0 meV per atom

We obtain E values of -49.9, -36.4, -47.4, -50.0, -45.8, -44.2, -43.9, -33.6, -43.3, -44.0, -43.1, -32.7, -33.4, -93.6, -83.5, -76.3, -23.8, -16.6, -23.6, -20.1, -18.8, -26.6, -27.5, -31.3, -35.6 eV per formula unit for the records listed above, in that order.
We obtain theoretical density values of 13230, 8397, 11893, 13666, 9627, 11819, 12177, 12348, 12073, 12332, 11199, 12351, 12041, 10161, 11138, 9910, 4562, 5092, 3281, 6317, 5869, 5046, 3776, 4757, 7659 kg/m3 for the records listed above, in that order.